Nd3Sm2Zn3 GGA-PBE relaxed; calculated total energy = -3.669 eV per atom; density of states at the Fermi level = 9.5 states/eV/f.u.
1.0
3.724 0.000 0.000
0.000 5.337 0.000
-1.862 -2.668 10.978
Sm Zn Nd
2 3 3
direct
0.271 0.771 0.541
0.729 0.229 0.459
0.000 0.500 0.000
0.883 0.883 0.767
0.117 0.117 0.233
0.617 0.617 0.235
0.500 0.000 0.000
0.383 0.383 0.765


NdSm3Zn8 GGA-PBE relaxed; relative energy among the computed polymorphs = 0 meV per atom; density of states at the Fermi level = 5.1 states/eV/f.u.
1.0
5.555 0.000 0.000
2.778 4.811 0.000
2.778 1.604 9.031
Sm Zn Nd
3 8 1
direct
0.000 0.000 0.001
0.500 0.500 0.500
0.375 0.375 0.874
0.938 0.438 0.186
0.938 0.436 0.689
0.436 0.938 0.689
0.687 0.687 0.938
0.438 0.938 0.186
0.438 0.438 0.186
0.187 0.187 0.438
0.938 0.938 0.689
0.875 0.875 0.375


NdSmZn GGA-PBE relaxed; relative energy among the computed polymorphs = 0 meV per atom; density of states at the Fermi level = 3.7 states/eV/f.u.
1.0
3.682 0.000 0.000
0.000 3.682 0.000
-1.841 -1.841 6.215
Zn Sm Nd
1 1 1
direct
0.669 0.669 0.339
0.310 0.310 0.620
0.021 0.021 0.042


NdSm3Zn2 GGA-PBE relaxed; relative energy among the computed polymorphs = 0 meV per atom; density of states at the Fermi level = 5.6 states/eV/f.u.
1.0
-2.786 -1.252 -1.994
2.307 -2.067 -1.926
-1.599 -9.323 8.088
Nd Zn Sm
1 2 3
direct
0.500 0.500 0.500
0.500 0.500 0.145
0.500 0.500 0.855
0.000 0.000 0.289
0.000 0.000 0.000
0.000 0.000 0.711